Computed, not measured: a relaxed Ti3SI crystal at the PBE-GGA level of DFT.

Values from the calculation:
Final energy in eV/atom: -4.76
Excess energy over the best structure of this formula in the dataset in eV per formula unit: 6.07

Lattice parameters (Å, degrees): 5.009 5.009 5.009 90.00 90.00 90.00
Fractional coordinates of all 5 atoms:
I (0.000, 0.000, 0.000)
Ti (0.000, 0.500, 0.000)
Ti (0.500, 0.000, 0.000)
S (0.500, 0.500, 0.500)
Ti (0.000, 0.000, 0.500)